# CdPC, optimized geometry, DFT PBE-GGA
# - DOS(E_F): 0.84 states/eV per atom
# - DFT total energy: -4.75 eV/atom
# - Calculated formation energy: 0.429 eV/atom
# - Crystal system: trigonal
data_CdPC
_chemical_formula_sum 'Cd3 P3 C3'
_space_group_name_H-M_alt 'R 3 m'
_space_group_IT_number 160
_space_group_name_Hall 'R 3 -2"'
_cell_length_a 2.9403
_cell_length_b 2.9403
_cell_length_c 18.3964
_cell_angle_alpha 90.00
_cell_angle_beta 90.00
_cell_angle_gamma 120.00
loop_
_atom_site_label
_atom_site_type_symbol
_atom_site_fract_x
_atom_site_fract_y
_atom_site_fract_z
Cd1 Cd 0.0000 0.0000 0.0000
P1 P 0.0000 0.0000 0.1574
C1 C 0.0000 0.0000 0.8612

# Ca2Be, optimized geometry, DFT PBE-GGA
# - DOS(E_F): 0.76 states/eV per atom
# - DFT total energy: -2.27 eV/atom
# - Calculated formation energy: 0.310 eV/atom
# - Crystal system: tetragonal
data_Ca2Be
_chemical_formula_sum 'Ca8 Be4'
_space_group_name_H-M_alt 'I 41/a m d'
_space_group_IT_number 141
_cell_length_a 3.5328
_cell_length_b 3.5328
_cell_length_c 27.8092
_cell_angle_alpha 90.00
_cell_angle_beta 90.00
_cell_angle_gamma 90.00
loop_
_space_group_symop_operation_xyz
'x,y,z'
'-x,-y,-z'
'-y+1/4,x+3/4,z+1/4'
'y+1/4,-x+3/4,-z+1/4'
'-x+1/2,-y,z+1/2'
'x+1/2,y,-z+1/2'
'y+1/4,-x+1/4,z+3/4'
'-y+1/4,x+1/4,-z+3/4'
'x,-y,-z'
'-x,y,z'
'-y+1/4,-x+1/4,-z+3/4'
'y+1/4,x+1/4,z+3/4'
'-x+1/2,y,-z+1/2'
'x+1/2,-y,z+1/2'
'y+1/4,x+3/4,-z+1/4'
'-y+1/4,-x+3/4,z+1/4'
'x+1/2,y+1/2,z+1/2'
'-x+1/2,-y+1/2,-z+1/2'
'-y+3/4,x+1/4,z+3/4'
'y+3/4,-x+1/4,-z+3/4'
'-x,-y+1/2,z'
'x,y+1/2,-z'
'y+3/4,-x+3/4,z+1/4'
'-y+3/4,x+3/4,-z+1/4'
'x+1/2,-y+1/2,-z+1/2'
'-x+1/2,y+1/2,z+1/2'
'-y+3/4,-x+3/4,-z+1/4'
'y+3/4,x+3/4,z+1/4'
'-x,y+1/2,-z'
'x,-y+1/2,z'
'y+3/4,x+1/4,-z+3/4'
'-y+3/4,-x+1/4,z+3/4'
loop_
_atom_site_label
_atom_site_type_symbol
_atom_site_fract_x
_atom_site_fract_y
_atom_site_fract_z
Ca1 Ca 0.0000 0.2500 0.3131
Be1 Be 0.0000 0.2500 0.8750

# PmThP2, optimized geometry, DFT PBE-GGA
# - DOS(E_F): 0.70 states/eV per atom
# - DFT total energy: -7.15 eV/atom
# - Calculated formation energy: -1.401 eV/atom
# - Crystal system: trigonal
data_PmThP2
_chemical_formula_sum 'Pm3 Th3 P6'
_space_group_name_H-M_alt 'R 3 m'
_space_group_IT_number 160
_space_group_name_Hall 'R 3 -2"'
_cell_length_a 4.0437
_cell_length_b 4.0437
_cell_length_c 21.4937
_cell_angle_alpha 90.00
_cell_angle_beta 90.00
_cell_angle_gamma 120.00
loop_
_atom_site_label
_atom_site_type_symbol
_atom_site_fract_x
_atom_site_fract_y
_atom_site_fract_z
Pm1 Pm 0.0000 0.0000 0.0000
Th1 Th 0.0000 0.0000 0.8270
P1 P 0.0000 0.0000 0.4116
P2 P 0.0000 0.0000 0.5795